! NbAlN2O, relaxed, DFT PBE-GGA; values from VASP
&SYSTEM
  ibrav = 0, nat = 5, ntyp = 4
/
ATOMIC_SPECIES
Nb 92.91 Nb.upf
N 14.01 N.upf
O 16.00 O.upf
Al 26.98 Al.upf
ATOMIC_POSITIONS angstrom
Nb -1.1053 -1.0509 2.7563
N -1.6544 -0.7996 0.2864
N -0.2167 1.0037 1.5505
O 0.7657 -1.2550 0.9194
Al 0.0000 0.0000 0.0000
CELL_PARAMETERS angstrom
-0.4334 2.0074 3.1010
-3.3087 -1.5992 0.5728
1.5315 -2.5099 1.8388
! symmetry: P4/mmm
! E_tot: -7.568 eV per atom
! raw formation energy: -46.7 kJ per mole of atoms